Entry 1:
The following is a PBE calculation of TmSc5Ni2 after structural relaxation, from Alexandria via LeMat-Bulk.

- formation energy from the elements (eV/atom) = -0.191
- D(E_F) (states/eV per cell) = 39.5
- DFT total energy (eV per atom) = -6.1526

```
data_TmSc5Ni2
_chemical_formula_sum 'Tm4 Sc20 Ni8'
_cell_length_a 3.517
_cell_length_b 11.918
_cell_length_c 16.369
_cell_angle_alpha 90.00
_cell_angle_beta 90.00
_cell_angle_gamma 90.00
_space_group_name_H-M_alt 'C m c m'
_space_group_IT_number 63
_space_group_name_Hall '-C 2c 2'
loop_
_atom_site_label
_atom_site_fract_x
_atom_site_fract_y
_atom_site_fract_z
Tm1 0.000 0.145 0.250
Sc1 0.000 0.121 0.750
Sc2 0.000 0.155 0.044
Sc3 0.000 0.445 0.102
Ni1 0.000 0.242 0.625
```

Entry 2:
The following is a PBE calculation of Tm2Sc2Ni3 after structural relaxation, from Alexandria via LeMat-Bulk.

- formation energy from the elements (eV/atom) = -0.362
- D(E_F) (states/eV per cell) = 12.2
- relative energy among the computed polymorphs (meV/atom) = 0.0
- DFT total energy (eV per atom) = -5.9260

```
data_Tm2Sc2Ni3
_chemical_formula_sum 'Tm4 Sc4 Ni6'
_cell_length_a 10.164
_cell_length_b 3.893
_cell_length_c 8.336
_cell_angle_alpha 90.00
_cell_angle_beta 123.93
_cell_angle_gamma 90.00
_space_group_name_H-M_alt 'C 1 2/m 1'
_space_group_IT_number 12
loop_
_space_group_symop_operation_xyz
'x,y,z'
'-x,-y,-z'
'-x,y,-z'
'x,-y,z'
'x+1/2,y+1/2,z'
'-x+1/2,-y+1/2,-z'
'-x+1/2,y+1/2,-z'
'x+1/2,-y+1/2,z'
loop_
_atom_site_label
_atom_site_fract_x
_atom_site_fract_y
_atom_site_fract_z
Tm1 0.079 0.000 0.365
Sc1 0.191 0.500 0.095
Ni1 0.000 0.000 0.000
Ni2 0.142 0.500 0.654
```

Entry 3:
The following is a PBE calculation of TmScNi after structural relaxation, from Alexandria via LeMat-Bulk.

- formation energy from the elements (eV/atom) = -0.287
- D(E_F) (states/eV per cell) = 5.8
- relative energy among the computed polymorphs (meV/atom) = 57.6
- DFT total energy (eV per atom) = -5.8152

```
data_TmScNi
_chemical_formula_sum 'Tm2 Sc2 Ni2'
_cell_length_a 3.292
_cell_length_b 3.292
_cell_length_c 11.611
_cell_angle_alpha 90.00
_cell_angle_beta 90.00
_cell_angle_gamma 90.00
_space_group_name_H-M_alt 'I 4 m m'
_space_group_IT_number 107
_space_group_name_Hall 'I 4 -2'
loop_
_atom_site_label
_atom_site_fract_x
_atom_site_fract_y
_atom_site_fract_z
Tm1 0.000 0.000 0.000
Sc1 0.000 0.000 0.267
Ni1 0.000 0.000 0.646
```

Entry 4:
The following is a PBE calculation of TmScNi after structural relaxation, from Alexandria via LeMat-Bulk.

- formation energy from the elements (eV/atom) = -0.345
- D(E_F) (states/eV per cell) = 10.7
- relative energy among the computed polymorphs (meV/atom) = 0.0
- DFT total energy (eV per atom) = -5.8728

```
data_TmScNi
_chemical_formula_sum 'Tm3 Sc3 Ni3'
_cell_length_a 6.8308
_cell_length_b 6.8308
_cell_length_c 4.5996
_cell_angle_alpha 90.00
_cell_angle_beta 90.00
_cell_angle_gamma 120.00
_space_group_name_H-M_alt 'P -6 2 m'
_space_group_IT_number 189
_space_group_name_Hall 'P -6 -2'
loop_
_atom_site_label
_atom_site_fract_x
_atom_site_fract_y
_atom_site_fract_z
Tm1 0.0000 0.4047 0.0000
Sc1 0.0000 0.7360 0.5000
Ni1 0.0000 0.0000 0.0000
Ni2 0.3333 0.6667 0.5000
```

Entry 5:
The following is a PBE calculation of Tm3Sc3Ni4 after structural relaxation, from Alexandria via LeMat-Bulk.

- formation energy from the elements (eV/atom) = -0.359
- D(E_F) (states/eV per cell) = 16.9
- DFT total energy (eV per atom) = -5.9128

```
data_Tm3Sc3Ni4
_chemical_formula_sum 'Tm6 Sc6 Ni8'
_cell_length_a 3.729
_cell_length_b 10.208
_cell_length_c 10.225
_cell_angle_alpha 90.00
_cell_angle_beta 90.00
_cell_angle_gamma 90.00
_space_group_name_H-M_alt 'A m m 2'
_space_group_IT_number 38
loop_
_space_group_symop_operation_xyz
'x,y,z'
'-x,-y,z'
'-x,y,z'
'x,-y,z'
'x,y+1/2,z+1/2'
'-x,-y+1/2,z+1/2'
'-x,y+1/2,z+1/2'
'x,-y+1/2,z+1/2'
loop_
_atom_site_label
_atom_site_fract_x
_atom_site_fract_y
_atom_site_fract_z
Tm1 0.000 0.000 0.000
Tm2 0.500 0.246 0.593
Sc1 0.000 0.000 0.678
Sc2 0.000 0.159 0.343
Ni1 0.500 0.000 0.221
Ni2 0.500 0.000 0.472
Ni3 0.500 0.131 0.837
```

Entry 6:
The following is a PBE calculation of TmSc2Ni2 after structural relaxation, from Alexandria via LeMat-Bulk.

- formation energy from the elements (eV/atom) = -0.359
- D(E_F) (states/eV per cell) = 8.9
- relative energy among the computed polymorphs (meV/atom) = 0.0
- DFT total energy (eV per atom) = -6.0980

```
data_TmSc2Ni2
_chemical_formula_sum 'Tm2 Sc4 Ni4'
_cell_length_a 4.845
_cell_length_b 4.354
_cell_length_c 9.634
_cell_angle_alpha 90.00
_cell_angle_beta 101.21
_cell_angle_gamma 90.00
_space_group_name_H-M_alt 'P 1 21/m 1'
_space_group_IT_number 11
loop_
_space_group_symop_operation_xyz
'x,y,z'
'-x,-y,-z'
'-x,y+1/2,-z'
'x,-y+1/2,z'
loop_
_atom_site_label
_atom_site_fract_x
_atom_site_fract_y
_atom_site_fract_z
Tm1 0.049 0.250 0.276
Sc1 0.265 0.250 0.979
Sc2 0.404 0.250 0.615
Ni1 0.133 0.750 0.472
Ni2 0.266 0.750 0.137
```

Entry 7:
The following is a PBE calculation of TmSc4Ni2 after structural relaxation, from Alexandria via LeMat-Bulk.

- formation energy from the elements (eV/atom) = -0.221
- D(E_F) (states/eV per cell) = 20.7
- DFT total energy (eV per atom) = -6.1294

```
data_TmSc4Ni2
_chemical_formula_sum 'Tm2 Sc8 Ni4'
_cell_length_a 7.178
_cell_length_b 5.854
_cell_length_c 7.520
_cell_angle_alpha 90.00
_cell_angle_beta 112.43
_cell_angle_gamma 90.00
_space_group_name_H-M_alt 'P 1 21/m 1'
_space_group_IT_number 11
loop_
_space_group_symop_operation_xyz
'x,y,z'
'-x,-y,-z'
'-x,y+1/2,-z'
'x,-y+1/2,z'
loop_
_atom_site_label
_atom_site_fract_x
_atom_site_fract_y
_atom_site_fract_z
Tm1 0.152 0.250 0.022
Sc1 0.024 0.250 0.392
Sc2 0.257 0.750 0.350
Sc3 0.408 0.003 0.766
Ni1 0.258 0.750 0.990
Ni2 0.383 0.250 0.424
```

Entry 8:
The following is a PBE calculation of TmScNi10 after structural relaxation, from Alexandria via LeMat-Bulk.

- formation energy from the elements (eV/atom) = -0.310
- D(E_F) (states/eV per cell) = 13.4
- DFT total energy (eV per atom) = -6.0285

```
data_TmScNi10
_chemical_formula_sum 'Tm1 Sc1 Ni10'
_cell_length_a 3.964
_cell_length_b 4.793
_cell_length_c 8.294
_cell_angle_alpha 90.00
_cell_angle_beta 90.00
_cell_angle_gamma 90.00
_space_group_name_H-M_alt 'P m m m'
_space_group_IT_number 47
loop_
_space_group_symop_operation_xyz
'x,y,z'
'-x,-y,-z'
'-x,-y,z'
'x,y,-z'
'x,-y,-z'
'-x,y,z'
'-x,y,-z'
'x,-y,z'
loop_
_atom_site_label
_atom_site_fract_x
_atom_site_fract_y
_atom_site_fract_z
Tm1 0.000 0.000 0.000
Sc1 0.000 0.500 0.500
Ni1 0.000 0.000 0.338
Ni2 0.000 0.500 0.173
Ni3 0.500 0.000 0.500
Ni4 0.500 0.250 0.252
Ni5 0.500 0.500 0.000
```

Entry 9:
The following is a PBE calculation of TmScNi after structural relaxation, from Alexandria via LeMat-Bulk.

- formation energy from the elements (eV/atom) = -0.291
- D(E_F) (states/eV per cell) = 10.6
- relative energy among the computed polymorphs (meV/atom) = 53.3
- DFT total energy (eV per atom) = -5.8196

```
data_TmScNi
_chemical_formula_sum 'Tm4 Sc4 Ni4'
_cell_length_a 12.224
_cell_length_b 3.257
_cell_length_c 6.602
_cell_angle_alpha 90.00
_cell_angle_beta 106.32
_cell_angle_gamma 90.00
_space_group_name_H-M_alt 'C 1 2/m 1'
_space_group_IT_number 12
loop_
_space_group_symop_operation_xyz
'x,y,z'
'-x,-y,-z'
'-x,y,-z'
'x,-y,z'
'x+1/2,y+1/2,z'
'-x+1/2,-y+1/2,-z'
'-x+1/2,y+1/2,-z'
'x+1/2,-y+1/2,z'
loop_
_atom_site_label
_atom_site_fract_x
_atom_site_fract_y
_atom_site_fract_z
Tm1 0.135 0.000 0.070
Sc1 0.131 0.000 0.563
Ni1 0.005 0.500 0.729
```

Entry 10:
The following is a PBE calculation of TmSc2Ni2 after structural relaxation, from Alexandria via LeMat-Bulk.

- formation energy from the elements (eV/atom) = -0.350
- D(E_F) (states/eV per cell) = 21.1
- relative energy among the computed polymorphs (meV/atom) = 8.8
- DFT total energy (eV per atom) = -6.0892

```
data_TmSc2Ni2
_chemical_formula_sum 'Tm4 Sc8 Ni8'
_cell_length_a 3.535
_cell_length_b 12.883
_cell_length_c 8.571
_cell_angle_alpha 90.00
_cell_angle_beta 90.00
_cell_angle_gamma 90.00
_space_group_name_H-M_alt 'C m c 21'
_space_group_IT_number 36
loop_
_space_group_symop_operation_xyz
'x,y,z'
'-x,-y,z+1/2'
'-x,y,z'
'x,-y,z+1/2'
'x+1/2,y+1/2,z'
'-x+1/2,-y+1/2,z+1/2'
'-x+1/2,y+1/2,z'
'x+1/2,-y+1/2,z+1/2'
loop_
_atom_site_label
_atom_site_fract_x
_atom_site_fract_y
_atom_site_fract_z
Tm1 0.000 0.090 0.000
Sc1 0.000 0.186 0.635
Sc2 0.000 0.388 0.849
Ni1 0.000 0.265 0.346
Ni2 0.000 0.454 0.177
```

Entry 11:
The following is a PBE calculation of TmScNi after structural relaxation, from Alexandria via LeMat-Bulk.

- formation energy from the elements (eV/atom) = -0.187
- D(E_F) (states/eV per cell) = 12.7
- relative energy among the computed polymorphs (meV/atom) = 157.5
- DFT total energy (eV per atom) = -5.7153

```
data_TmScNi
_chemical_formula_sum 'Tm4 Sc4 Ni4'
_cell_length_a 6.438
_cell_length_b 6.438
_cell_length_c 6.438
_cell_angle_alpha 90.00
_cell_angle_beta 90.00
_cell_angle_gamma 90.00
_space_group_name_H-M_alt 'F -4 3 m'
_space_group_IT_number 216
_space_group_name_Hall 'F -4 2 3'
loop_
_atom_site_label
_atom_site_fract_x
_atom_site_fract_y
_atom_site_fract_z
Tm1 0.000 0.000 0.000
Sc1 0.000 0.000 0.500
Ni1 0.250 0.250 0.250
```

Entry 12:
The following is a PBE calculation of Tm4ScNi5 after structural relaxation, from Alexandria via LeMat-Bulk.

- formation energy from the elements (eV/atom) = -0.454
- D(E_F) (states/eV per cell) = 8.7
- DFT total energy (eV per atom) = -5.7664

```
data_Tm4ScNi5
_chemical_formula_sum 'Tm4 Sc1 Ni5'
_cell_length_a 3.276
_cell_length_b 3.276
_cell_length_c 16.673
_cell_angle_alpha 90.00
_cell_angle_beta 90.00
_cell_angle_gamma 90.00
_space_group_name_H-M_alt 'P 4/m m m'
_space_group_IT_number 123
_space_group_name_Hall '-P 4 2'
loop_
_atom_site_label
_atom_site_fract_x
_atom_site_fract_y
_atom_site_fract_z
Tm1 0.000 0.000 0.102
Tm2 0.000 0.000 0.305
Sc1 0.000 0.000 0.500
Ni1 0.500 0.500 0.000
Ni2 0.500 0.500 0.204
Ni3 0.500 0.500 0.410
```

Entry 13:
The following is a PBE calculation of Tm3ScNi4 after structural relaxation, from Alexandria via LeMat-Bulk.

- formation energy from the elements (eV/atom) = -0.461
- D(E_F) (states/eV per cell) = 4.7
- DFT total energy (eV per atom) = -5.8196

```
data_Tm3ScNi4
_chemical_formula_sum 'Tm3 Sc1 Ni4'
_cell_length_a 3.244
_cell_length_b 4.676
_cell_length_c 9.363
_cell_angle_alpha 90.00
_cell_angle_beta 90.00
_cell_angle_gamma 90.00
_space_group_name_H-M_alt 'P m m m'
_space_group_IT_number 47
loop_
_space_group_symop_operation_xyz
'x,y,z'
'-x,-y,-z'
'-x,-y,z'
'x,y,-z'
'x,-y,-z'
'-x,y,z'
'-x,y,-z'
'x,-y,z'
loop_
_atom_site_label
_atom_site_fract_x
_atom_site_fract_y
_atom_site_fract_z
Tm1 0.000 0.000 0.000
Tm2 0.000 0.500 0.254
Sc1 0.000 0.000 0.500
Ni1 0.500 0.000 0.262
Ni2 0.500 0.500 0.000
Ni3 0.500 0.500 0.500
```

Entry 14:
The following is a PBE calculation of Tm2ScNi9 after structural relaxation, from Alexandria via LeMat-Bulk.

- formation energy from the elements (eV/atom) = -0.416
- D(E_F) (states/eV per cell) = 32.3
- DFT total energy (eV per atom) = -6.0253

```
data_Tm2ScNi9
_chemical_formula_sum 'Tm4 Sc2 Ni18'
_cell_length_a 4.8866
_cell_length_b 4.8866
_cell_length_c 16.0802
_cell_angle_alpha 90.00
_cell_angle_beta 90.00
_cell_angle_gamma 120.00
_space_group_name_H-M_alt 'P 63/m m c'
_space_group_IT_number 194
_space_group_name_Hall '-P 6c 2c'
loop_
_atom_site_label
_atom_site_fract_x
_atom_site_fract_y
_atom_site_fract_z
Tm1 0.3333 0.6667 0.0434
Sc1 0.3333 0.6667 0.2500
Ni1 0.0000 0.0000 0.0000
Ni2 0.0000 0.0000 0.2500
Ni3 0.1673 0.3347 0.6268
Ni4 0.3333 0.6667 0.7500
```

Entry 15:
The following is a PBE calculation of Tm2ScNi3 after structural relaxation, from Alexandria via LeMat-Bulk.

- formation energy from the elements (eV/atom) = -0.464
- D(E_F) (states/eV per cell) = 6.7
- DFT total energy (eV per atom) = -5.9006

```
data_Tm2ScNi3
_chemical_formula_sum 'Tm4 Sc2 Ni6'
_cell_length_a 4.653
_cell_length_b 14.018
_cell_length_c 3.227
_cell_angle_alpha 90.00
_cell_angle_beta 90.00
_cell_angle_gamma 90.00
_space_group_name_H-M_alt 'P m m n'
_space_group_IT_number 59
loop_
_space_group_symop_operation_xyz
'x,y,z'
'-x,-y,-z'
'-x+1/2,-y+1/2,z'
'x+1/2,y+1/2,-z'
'x+1/2,-y,-z'
'-x+1/2,y,z'
'-x,y+1/2,-z'
'x,-y+1/2,z'
loop_
_atom_site_label
_atom_site_fract_x
_atom_site_fract_y
_atom_site_fract_z
Tm1 0.250 0.085 0.001
Sc1 0.250 0.750 0.998
Ni1 0.250 0.250 0.502
Ni2 0.250 0.593 0.499
```

Entry 16:
The following is a PBE calculation of Tm3Sc3Ni2 after structural relaxation, from Alexandria via LeMat-Bulk.

- formation energy from the elements (eV/atom) = -0.202
- D(E_F) (states/eV per cell) = 37.0
- DFT total energy (eV per atom) = -5.6987

```
data_Tm3Sc3Ni2
_chemical_formula_sum 'Tm12 Sc12 Ni8'
_cell_length_a 3.617
_cell_length_b 12.076
_cell_length_c 16.713
_cell_angle_alpha 90.00
_cell_angle_beta 90.00
_cell_angle_gamma 90.00
_space_group_name_H-M_alt 'C m c m'
_space_group_IT_number 63
_space_group_name_Hall '-C 2c 2'
loop_
_atom_site_label
_atom_site_fract_x
_atom_site_fract_y
_atom_site_fract_z
Tm1 0.000 0.054 0.102
Tm2 0.000 0.357 0.250
Sc1 0.000 0.337 0.046
Sc2 0.000 0.373 0.750
Ni1 0.000 0.254 0.627
```